Entry from the Alexandria database: a relaxed structure of Fe2CoRh (PBEsol).

a = 3.5481 Å, b = 3.5597 Å, c = 3.5597 Å
α = 90.00°, β = 90.00°, γ = 90.00°
Fractional positions:
Fe1 0.0000 0.5000 0.0000
Fe2 0.0000 0.0000 0.5000
Rh1 0.5000 0.5000 0.5000
Co1 0.5000 0.0000 0.0000

Summary:
Symmetry ... P4/mmm (123)
Magnetic moment ... 1.2374 μB/atom
E above lowest polymorph ... 11 kJ/mol of formula units
Energy of formation from the pure elements ... 0.315 eV per formula unit

=====

Entry from the Alexandria database: a relaxed structure of FeCoRh4S8 (PBEsol).

a = 6.7142 Å, b = 6.7142 Å, c = 6.7142 Å
α = 60.00°, β = 60.00°, γ = 60.00°
Fractional positions:
S1 0.8722 0.3833 0.8722
S2 0.3833 0.8722 0.8722
S3 0.3756 0.3756 0.8733
S4 0.8722 0.8722 0.8722
S5 0.8722 0.8722 0.3833
S6 0.3756 0.3756 0.3756
S7 0.3756 0.8733 0.3756
S8 0.8733 0.3756 0.3756
Rh1 0.6234 0.1299 0.6234
Rh2 0.6234 0.6234 0.1299
Rh3 0.1299 0.6234 0.6234
Rh4 0.6234 0.6234 0.6234
Co1 0.0000 0.0000 0.0000
Fe1 0.2500 0.2500 0.2500

Summary:
Symmetry ... F-43m (216)
Formation energy (no corrections) ... -0.528 eV/atom
Magnetic moment ... 0.0001 μB/atom

=====

Entry from the Alexandria database: a relaxed structure of FeCo3Ru (PBEsol).

a = 4.0926 Å, b = 4.0926 Å, c = 4.0926 Å
α = 90.00°, β = 90.00°, γ = 90.00°
Fractional positions:
Co1 0.0000 0.0000 0.5000
Co2 0.5000 0.0000 0.0000
Co3 0.0000 0.5000 0.0000
Ru1 0.5000 0.5000 0.5000
Fe1 0.0000 0.0000 0.0000

Summary:
Symmetry ... Pm-3m (221)
Magnetic moment ... 1.7160 μB/atom
Energy of formation from the pure elements ... 7.101 eV per formula unit

=====

Entry from the Alexandria database: a relaxed structure of FeCo2Ru2 (PBEsol).

a = 3.1282 Å, b = 3.1282 Å, c = 6.7424 Å
α = 103.41°, β = 103.41°, γ = 90.00°
Fractional positions:
Co1 0.7500 0.2500 0.5000
Co2 0.2500 0.7500 0.5000
Ru1 0.3988 0.3988 0.7976
Ru2 0.6012 0.6012 0.2024
Fe1 0.0000 0.0000 0.0000

Summary:
Symmetry ... I4/mmm (139)
Magnetic moment ... 0.1880 μB/atom
Energy of formation from the pure elements ... 2.544 eV per formula unit

=====

Entry from the Alexandria database: a relaxed structure of FeCoS3 (PBEsol).

a = 4.3278 Å, b = 4.3278 Å, c = 4.3278 Å
α = 90.00°, β = 90.00°, γ = 90.00°
Fractional positions:
S1 0.0000 0.5000 0.0000
S2 0.0000 0.0000 0.5000
S3 0.5000 0.0000 0.0000
Fe1 0.5000 0.5000 0.5000
Co1 0.0000 0.0000 0.0000

Summary:
Symmetry ... Pm-3m (221)
Formation energy (no corrections) ... 0.608 eV/atom
Magnetic moment ... 0.6822 μB/atom

=====

Entry from the Alexandria database: a relaxed structure of FeCo3S8 (PBEsol).

a = 5.3710 Å, b = 5.3710 Å, c = 5.3710 Å
α = 89.98°, β = 89.98°, γ = 89.98°
Fractional positions:
S1 0.8833 0.1174 0.3773
S2 0.6227 0.1167 0.8826
S3 0.6175 0.6175 0.6175
S4 0.3773 0.8833 0.1174
S5 0.1167 0.8826 0.6227
S6 0.8826 0.6227 0.1167
S7 0.3825 0.3825 0.3825
S8 0.1174 0.3773 0.8833
Co1 0.0000 0.5000 0.5000
Co2 0.5000 0.5000 0.0000
Co3 0.5000 0.0000 0.5000
Fe1 0.0000 0.0000 0.0000

Summary:
Symmetry ... R-3 (148)
Formation energy (no corrections) ... -0.546 eV/atom
Magnetic moment ... 0.1953 μB/atom

=====

Entry from the Alexandria database: a relaxed structure of FeCoSnS2 (PBEsol).

a = 4.2112 Å, b = 4.2112 Å, c = 5.1926 Å
α = 90.00°, β = 90.00°, γ = 90.00°
Fractional positions:
S1 0.5000 0.0000 0.0000
S2 0.0000 0.5000 0.0000
Fe1 0.5000 0.5000 0.5000
Co1 0.0000 0.0000 0.0000
Sn1 0.0000 0.0000 0.5000

Summary:
Symmetry ... P4/mmm (123)
Formation energy (no corrections) ... 0.604 eV/atom
Magnetic moment ... 0.5546 μB/atom

=====

Entry from the Alexandria database: a relaxed structure of Ti4FeCoS8 (PBEsol).

a = 5.6857 Å, b = 6.3516 Å, c = 6.6322 Å
α = 74.85°, β = 89.98°, γ = 64.05°
Fractional positions:
Ti1 0.7355 0.0123 0.3731
Ti2 0.2650 0.9871 0.1299
Ti3 0.2645 0.9877 0.6269
Ti4 0.7350 0.0129 0.8701
Fe1 0.0000 0.5000 0.0000
S1 0.5572 0.7210 0.9447
S2 0.9563 0.2679 0.8100
S3 0.0437 0.7321 0.1900
S4 0.4433 0.2779 0.5554
S5 0.5567 0.7221 0.4446
S6 0.4428 0.2790 0.0553
S7 0.9558 0.2676 0.3062
S8 0.0442 0.7324 0.6938
Co1 0.0000 0.5000 0.5000

Summary:
Symmetry ... P-1 (2)
Formation energy (no corrections) ... -1.245 eV/atom
Magnetic moment ... 0.0001 μB/atom

=====

Entry from the Alexandria database: a relaxed structure of FeCo2Sb (PBEsol).

a = 2.9357 Å, b = 2.9357 Å, c = 7.6362 Å
α = 78.92°, β = 78.92°, γ = 60.00°
Fractional positions:
Sb1 0.0000 0.0000 0.0000
Co1 0.7565 0.7565 0.7306
Co2 0.2435 0.2435 0.2694
Fe1 0.5000 0.5000 0.5000

Summary:
Symmetry ... R-3m (166)
Formation energy (no corrections) ... 0.423 eV/atom
Magnetic moment ... 1.3065 μB/atom

=====

Entry from the Alexandria database: a relaxed structure of FeCo2Sb (PBEsol).

a = 4.1652 Å, b = 4.1652 Å, c = 4.1652 Å
α = 60.00°, β = 60.00°, γ = 60.00°
Fractional positions:
Sb1 0.5000 0.5000 0.5000
Co1 0.2500 0.2500 0.2500
Co2 0.7500 0.7500 0.7500
Fe1 0.0000 0.0000 0.0000

Summary:
Symmetry ... Fm-3m (225)
Formation energy (no corrections) ... 0.064 eV/atom
Magnetic moment ... 1.2620 μB/atom

=====

Entry from the Alexandria database: a relaxed structure of FeCoSb4 (PBEsol).

a = 3.2177 Å, b = 5.6703 Å, c = 6.3857 Å
α = 90.16°, β = 90.00°, γ = 90.00°
Fractional positions:
Sb1 0.5000 0.3045 0.8550
Sb2 0.0000 0.8044 0.6461
Sb3 0.0000 0.1956 0.3539
Sb4 0.5000 0.6955 0.1450
Fe1 0.0000 0.0000 0.0000
Co1 0.5000 0.5000 0.5000

Summary:
Symmetry ... P2/m (10)
Formation energy (no corrections) ... -0.160 eV/atom
Magnetic moment ... 0.0553 μB/atom
E above lowest polymorph ... 0 kJ/mol of formula units

=====

Entry from the Alexandria database: a relaxed structure of FeCoSb (PBEsol).

a = 3.0472 Å, b = 3.0472 Å, c = 5.6796 Å
α = 90.00°, β = 90.00°, γ = 120.00°
Fractional positions:
Sb1 0.6667 0.3333 0.3284
Fe1 0.3333 0.6667 0.7005
Co1 0.0000 0.0000 0.9711

Summary:
Symmetry ... P3m1 (156)
Formation energy (no corrections) ... 0.430 eV/atom
Magnetic moment ... 1.3055 μB/atom